Entry from Alexandria via LeMat-Bulk: Rb2LaTa6Br15O3 at its PBEsol-relaxed geometry (SCAN).

The value obtained for the uncorrected formation energy is -1624 meV/atom.

It has space group P-31c (No. 163), with a = 9.4315 Å, b = 9.4315 Å, c = 17.8312 Å, α = 90.00°, β = 90.00° and γ = 120.00°. Symmetry generates all atoms from Rb at (0.3333, 0.6667, 0.0407), La at (0.3333, 0.6667, 0.7500), Ta at (0.0159, 0.1898, 0.6853), Br at (0.0183, 0.2238, 0.4150), Br at (0.0712, 0.4700, 0.6148), Br at (0.2152, 0.4303, 0.2500) and O at (0.1823, 0.3646, 0.7500).


Entry from Alexandria via LeMat-Bulk: SrHfCu2C at its PBEsol-relaxed geometry (SCAN).

The calculation puts the formation energy at 3.2161 eV/atom. As for the density of states at the Fermi level: 4.4 states/eV per cell.

It has space group P4/mmm (No. 123), with a = 4.601 Å, b = 4.601 Å, c = 5.611 Å, α = 90.00°, β = 90.00° and γ = 90.00°. Symmetry generates all atoms from Sr at (0.000, 0.000, 0.000), Hf at (0.000, 0.000, 0.500), Cu at (0.000, 0.500, 0.000) and C at (0.500, 0.500, 0.500).


Entry from Alexandria via LeMat-Bulk: GaTc3F at its PBEsol-relaxed geometry (SCAN).

The value obtained for the uncorrected formation energy is 1738 meV/atom. As for the density of states at the Fermi level: 6.0 states/eV per cell.

It has space group Pm-3m (No. 221), with a = 4.582 Å, b = 4.582 Å, c = 4.582 Å, α = 90.00°, β = 90.00° and γ = 90.00°. Symmetry generates all atoms from Ga at (0.000, 0.000, 0.000), Tc at (0.000, 0.000, 0.500) and F at (0.500, 0.500, 0.500).


Entry from Alexandria via LeMat-Bulk: YCd at its PBEsol-relaxed geometry (SCAN).

The calculation puts the formation energy at -0.2135 eV/atom. As for the density of states at the Fermi level: 8.2 states/eV per cell.

It has space group R-3m (No. 166, hexagonal axes), with a = 4.8058 Å, b = 4.8058 Å, c = 16.0459 Å, α = 90.00°, β = 90.00° and γ = 120.00°. Symmetry generates all atoms from Y at (0.0000, 0.0000, 0.1003) and Cd at (0.0000, 0.0000, 0.3153).


Entry from Alexandria via LeMat-Bulk: BaTaNO2 at its PBEsol-relaxed geometry (SCAN).

The value obtained for the uncorrected formation energy is -2533 meV/atom.

It has space group P4/mmm (No. 123), with a = 4.089 Å, b = 4.089 Å, c = 4.107 Å, α = 90.00°, β = 90.00° and γ = 90.00°. Symmetry generates all atoms from Ba at (0.000, 0.000, 0.000), Ta at (0.500, 0.500, 0.500), N at (0.500, 0.500, 0.000) and O at (0.000, 0.500, 0.500).


Entry from Alexandria via LeMat-Bulk: Zn2FeCu at its PBEsol-relaxed geometry (SCAN).

The calculation puts the formation energy at -0.0215 eV/atom. As for the density of states at the Fermi level: 1.7 states/eV per cell.

It has space group Pmmm (No. 47), with a = 2.579 Å, b = 3.535 Å, c = 5.321 Å, α = 90.00°, β = 90.00° and γ = 90.00°. Symmetry generates all atoms from Zn at (0.000, 0.000, 0.248), Fe at (0.500, 0.500, 0.000) and Cu at (0.500, 0.500, 0.500).


Entry from Alexandria via LeMat-Bulk: ReTc2P at its PBEsol-relaxed geometry (SCAN).

The calculation puts the formation energy at -0.2511 eV/atom. As for the density of states at the Fermi level: 2.6 states/eV per cell.

It has space group P4/mmm (No. 123), with a = 2.846 Å, b = 2.846 Å, c = 6.536 Å, α = 90.00°, β = 90.00° and γ = 90.00°. Symmetry generates all atoms from Re at (0.000, 0.000, 0.000), Tc at (0.500, 0.500, 0.280) and P at (0.000, 0.000, 0.500).


Entry from Alexandria via LeMat-Bulk: ZnHgTeN2 at its PBEsol-relaxed geometry (SCAN).

The value obtained for the uncorrected formation energy is 1696 meV/atom. As for the density of states at the Fermi level: 2.5 states/eV per cell.

It has space group P4/mmm (No. 123), with a = 4.144 Å, b = 4.144 Å, c = 6.260 Å, α = 90.00°, β = 90.00° and γ = 90.00°. Symmetry generates all atoms from Zn at (0.000, 0.000, 0.000), Hg at (0.500, 0.500, 0.500), Te at (0.500, 0.500, 0.000) and N at (0.000, 0.500, 0.500).


Entry from Alexandria via LeMat-Bulk: Mg3TiPt at its PBEsol-relaxed geometry (SCAN).

The calculation puts the formation energy at 0.0020 eV/atom. As for the density of states at the Fermi level: 5.1 states/eV per cell.

It has space group Pm-3m (No. 221), with a = 4.906 Å, b = 4.906 Å, c = 4.906 Å, α = 90.00°, β = 90.00° and γ = 90.00°. Symmetry generates all atoms from Mg at (0.000, 0.000, 0.500), Ti at (0.500, 0.500, 0.500) and Pt at (0.000, 0.000, 0.000).


Entry from Alexandria via LeMat-Bulk: MgAu at its PBEsol-relaxed geometry (SCAN).

The calculation puts the formation energy at -0.6747 eV/atom. As for the density of states at the Fermi level: 2.3 states/eV per cell.

It has space group C2/m (No. 12), with a = 9.762 Å, b = 3.250 Å, c = 4.610 Å, α = 90.00°, β = 106.12° and γ = 90.00°. Symmetry generates all atoms from Mg at (0.114, 0.000, 0.326) and Au at (0.126, 0.500, 0.836).


Entry from Alexandria via LeMat-Bulk: CaRh2Au at its PBEsol-relaxed geometry (SCAN).

The calculation puts the formation energy at -0.1313 eV/atom. As for the density of states at the Fermi level: 6.9 states/eV per cell.

It has space group Cmmm (No. 65), with a = 5.772 Å, b = 7.564 Å, c = 2.971 Å, α = 90.00°, β = 90.00° and γ = 90.00°. Symmetry generates all atoms from Ca at (0.000, 0.000, 0.000), Rh at (0.250, 0.250, 0.500) and Au at (0.000, 0.500, 0.000).


Entry from Alexandria via LeMat-Bulk: LiReNi2 at its PBEsol-relaxed geometry (SCAN).

The calculation puts the formation energy at 0.1901 eV/atom. As for the distance to the lowest polymorph of the same formula: 181 meV/atom. As for the density of states at the Fermi level: 3.2 states/eV per cell.

It has space group P4mm (No. 99), with a = 2.531 Å, b = 2.531 Å, c = 7.556 Å, α = 90.00°, β = 90.00° and γ = 90.00°. Symmetry generates all atoms from Li at (0.000, 0.000, 0.000), Re at (0.500, 0.500, 0.707), Ni at (0.000, 0.000, 0.464) and Ni at (0.500, 0.500, 0.245).


| no. | electronic total energy (eV per atom) |
| --- | --- |
| 1 | -31.056 |
| 2 | -21.873 |
| 3 | -23.275 |
| 4 | -29.342 |
| 5 | -28.111 |
| 6 | -15.111 |
| 7 | -38.155 |
| 8 | -25.807 |
| 9 | -20.227 |
| 10 | -37.740 |
| 11 | -36.722 |
| 12 | -26.268 |